VASP calculation (GGA-PBE) on a geometry-optimized In2TcAs structure.

```
data_In2TcAs
_symmetry_space_group_name_H-M 'P 1'
_symmetry_Int_Tables_number 1
_symmetry_space_group_name_Hall 'P 1'
_cell_length_a 3.767
_cell_length_b 4.151
_cell_length_c 5.471
_cell_angle_alpha 90.00
_cell_angle_beta 110.13
_cell_angle_gamma 90.00
loop_
_atom_site_label
_atom_site_fract_x
_atom_site_fract_y
_atom_site_fract_z
In1 0.000 0.000 0.000
In2 0.312 0.500 0.623
Tc1 0.589 0.500 0.175
As1 0.724 0.000 0.449
```

Results
Raw total energy in eV/atom: -5.03
DOS(E_F) in states/eV/f.u.: 2.95
Energy of formation from the pure elements in eV/atom: 0.094